# ReNi2P, relaxed, DFT GGA-PBE
data_ReNi2P
_chemical_formula_sum 'Re4 Ni8 P4'
_space_group_name_H-M_alt 'F -4 3 m'
_space_group_IT_number 216
_space_group_name_Hall 'F -4 2 3'
_cell_length_a 5.7619
_cell_length_b 5.7619
_cell_length_c 5.7619
_cell_angle_alpha 90.00
_cell_angle_beta 90.00
_cell_angle_gamma 90.00
loop_
_atom_site_label
_atom_site_type_symbol
_atom_site_fract_x
_atom_site_fract_y
_atom_site_fract_z
Re1 Re 0.0000 0.0000 0.0000
Ni1 Ni 0.0000 0.0000 0.5000
Ni2 Ni 0.2500 0.2500 0.2500
P1 P 0.2500 0.2500 0.7500
# total DFT energy (no corrections)	-7.403	eV/atom
# density of states at the Fermi level	1.01	states/eV per atom
# ΔE_f	-47	meV per atom